Entry from the Open Quantum Materials Database: KPmTe after structural relaxation (PBE).

Computed properties:
The energy above the most stable polymorph in this dataset is 0 meV per atom. As for the space group: F-43m (216). The crystal system is cubic.

Structure (POSCAR):
```
KPmTe
1.0
0.000 3.811 3.811
3.811 0.000 3.811
3.811 3.811 0.000
K Pm Te
1 1 1
Cartesian
1.905 1.905 1.905
5.716 5.716 5.716
0.000 0.000 0.000
```

---

Entry from the Open Quantum Materials Database: KPmTh after structural relaxation (PBE).

Computed properties:
The energy above the most stable polymorph in this dataset is 0 meV per atom. As for the space group: F-43m (216). The crystal system is cubic.

Structure (POSCAR):
```
KPmTh
1.0
2.023 -2.672 4.629
-2.599 -4.702 1.950
2.539 -5.094 -0.522
K Pm Th
1 1 1
Cartesian
0.491 -3.117 1.514
0.000 0.000 0.000
1.472 -9.351 4.543
```

---

Entry from the Open Quantum Materials Database: KPmTl after structural relaxation (PBE).

Computed properties:
The energy above the most stable polymorph in this dataset is 0 meV per atom. As for the space group: F-43m (216). The crystal system is cubic.

Structure (POSCAR):
```
KPmTl
1.0
0.000 3.917 3.917
3.917 0.000 3.917
3.917 3.917 0.000
K Pm Tl
1 1 1
Cartesian
1.959 1.959 1.959
5.876 5.876 5.876
0.000 0.000 0.000
```

---

Entry from the Open Quantum Materials Database: KPmTm after structural relaxation (PBE).

Computed properties:
The energy above the most stable polymorph in this dataset is 0 meV per atom. As for the space group: F-43m (216). The crystal system is cubic.

Structure (POSCAR):
```
KPmTm
1.0
0.000 4.161 4.161
4.161 0.000 4.161
4.161 4.161 0.000
K Pm Tm
1 1 1
Cartesian
2.080 2.080 2.080
6.241 6.241 6.241
0.000 0.000 0.000
```

---

Entry from the Open Quantum Materials Database: KPmW after structural relaxation (PBE).

Computed properties:
The energy above the most stable polymorph in this dataset is 0 meV per atom. As for the space group: F-43m (216). The crystal system is cubic.

Structure (POSCAR):
```
KPmW
1.0
-3.164 -0.301 4.121
-0.907 4.227 2.898
-4.670 2.293 -0.132
K Pm W
1 1 1
Cartesian
-2.185 1.555 1.722
0.000 0.000 0.000
-6.556 4.664 5.165
```

---

Entry from the Open Quantum Materials Database: KPmZn after structural relaxation (PBE).

Computed properties:
The energy above the most stable polymorph in this dataset is 0 meV per atom. As for the space group: F-43m (216). The crystal system is cubic.

Structure (POSCAR):
```
KPmZn
1.0
3.511 -3.939 0.515
-1.531 -4.674 1.980
-0.299 -4.248 -3.160
K Pm Zn
1 1 1
Cartesian
0.420 -3.215 -0.166
1.261 -9.646 -0.499
0.000 0.000 0.000
```

---

Entry from the Open Quantum Materials Database: KPmZr after structural relaxation (PBE).

Computed properties:
As for the space group: F-43m (216). The calculation puts the electronic total energy at -3.16 eV per atom. The crystal system is cubic.

Structure (POSCAR):
```
KPmZr
1.0
-0.535 -0.877 5.260
-4.806 0.488 2.323
-2.590 -4.358 1.741
K Pm Zr
1 1 1
Cartesian
0.000 0.000 0.000
-1.983 -1.187 2.331
-5.948 -3.560 6.993
```

---

Entry from the Open Quantum Materials Database: K2Pr after structural relaxation (PBE).

Computed properties:
As for the space group: Fd-3m (227). The calculation puts the electronic total energy at -1.73 eV per atom. The crystal system is cubic.

Structure (POSCAR):
```
K2Pr
1.0
0.000 5.304 5.304
5.304 0.000 5.304
5.304 5.304 0.000
K Pr
4 2
Cartesian
3.978 3.978 6.629
3.978 6.629 3.978
6.629 3.978 3.978
6.629 6.629 6.629
0.000 0.000 0.000
2.652 2.652 2.652
```

---

Entry from the Open Quantum Materials Database: K2Pr after structural relaxation (PBE).

Computed properties:
As for the space group: P6_3/mmc (194). The calculation puts the electronic total energy at -1.76 eV per atom. The crystal system is hexagonal.

Structure (POSCAR):
```
K2Pr
1.0
-0.912 1.567 7.701
3.594 -6.669 -2.281
10.072 5.395 0.096
K Pr
8 4
Cartesian
0.000 0.000 0.000
3.641 -0.758 0.586
5.305 -3.846 -0.470
4.883 -3.120 3.095
5.036 2.697 0.048
7.870 3.413 2.420
7.448 4.139 5.986
9.112 1.051 4.930
1.535 -0.672 4.383
4.680 1.013 4.412
8.073 -0.720 1.103
11.218 0.965 1.133
```

---

Entry from the Open Quantum Materials Database: K2Pr after structural relaxation (PBE).

Computed properties:
As for the space group: Fm-3m (225). The calculation puts the electronic total energy at -1.36 eV per atom. The crystal system is cubic.

Structure (POSCAR):
```
K2Pr
1.0
0.000 4.746 4.746
4.746 0.000 4.746
4.746 4.746 0.000
K Pr
2 1
Cartesian
2.373 2.373 2.373
7.119 7.119 7.119
0.000 0.000 0.000
```

---

Entry from the Open Quantum Materials Database: KPr after structural relaxation (PBE).

Computed properties:
As for the space group: P6_3/mmc (194). The calculation puts the electronic total energy at -2.12 eV per atom. The crystal system is hexagonal.

Structure (POSCAR):
```
KPr
1.0
-1.986 -6.184 1.558
4.893 0.914 -4.453
4.099 -0.192 4.464
K Pr
2 2
Cartesian
1.332 -3.866 0.670
5.675 -1.596 0.899
0.000 0.000 0.000
2.050 -0.096 2.232
```

---

Entry from the Open Quantum Materials Database: KPr2 after structural relaxation (PBE).

Computed properties:
As for the space group: Fd-3m (227). The calculation puts the electronic total energy at -3.05 eV per atom. The crystal system is cubic.

Structure (POSCAR):
```
KPr2
1.0
0.000 5.147 5.147
5.147 0.000 5.147
5.147 5.147 0.000
K Pr
2 4
Cartesian
0.000 0.000 0.000
2.573 2.573 2.573
3.860 3.860 6.433
3.860 6.433 3.860
6.433 3.860 3.860
6.433 6.433 6.433
```

---

Entry from the Open Quantum Materials Database: K2Pr after structural relaxation (PBE).

Computed properties:
As for the space group: Fd-3m (227). The calculation puts the electronic total energy at -0.62 eV per atom. The crystal system is cubic.

Structure (POSCAR):
```
K2Pr
1.0
-12.496 -2.464 1.018
-8.490 7.467 -5.953
-6.474 -4.459 -10.073
K Pr
4 2
Cartesian
-10.297 0.204 -5.628
-16.546 -1.028 -5.119
-14.542 3.938 -8.604
-13.534 -2.025 -10.665
-6.865 0.136 -3.752
-13.730 0.272 -7.504
```

---

Entry from the Open Quantum Materials Database: KPr after structural relaxation (PBE).

Computed properties:
As for the space group: F-43m (216). The calculation puts the electronic total energy at -1.14 eV per atom. The crystal system is cubic.

Structure (POSCAR):
```
KPr
1.0
0.000 3.823 3.823
3.823 0.000 3.823
3.823 3.823 0.000
K Pr
1 1
Cartesian
0.000 0.000 0.000
1.911 1.911 1.911
```

---

Entry from the Open Quantum Materials Database: KPr after structural relaxation (PBE).

Computed properties:
As for the space group: Fm-3m (225). The calculation puts the electronic total energy at -1.88 eV per atom. The crystal system is cubic.

Structure (POSCAR):
```
KPr
1.0
0.000 3.543 3.543
3.543 0.000 3.543
3.543 3.543 0.000
K Pr
1 1
Cartesian
0.000 0.000 0.000
3.543 3.543 3.543
```

---

Entry from the Open Quantum Materials Database: KPr after structural relaxation (PBE).

Computed properties:
As for the space group: P-6m2 (187). The calculation puts the electronic total energy at -2.54 eV per atom. The crystal system is hexagonal.

Structure (POSCAR):
```
KPr
1.0
3.746 0.000 0.000
-1.873 3.244 0.000
0.000 0.000 7.272
K Pr
1 1
Cartesian
1.873 1.081 5.454
0.000 2.163 1.818
```

---

Entry from the Open Quantum Materials Database: KPrPt4 after structural relaxation (PBE).

Computed properties:
As for the space group: F-43m (216). The calculation puts the electronic total energy at -5.69 eV per atom. The crystal system is cubic.

Structure (POSCAR):
```
KPrPt4
1.0
5.402 0.434 -1.115
3.140 -4.547 -0.285
1.962 -1.706 -4.884
K Pr Pt
1 1 4
Cartesian
2.626 -1.455 -1.571
0.000 0.000 0.000
5.584 -2.784 -1.487
4.996 -1.364 -3.785
3.865 -3.853 -3.370
6.565 -3.636 -3.928
```

---

Entry from the Open Quantum Materials Database: KRbPr2Sb2 after structural relaxation (PBE).

Computed properties:
As for the space group: P4mm (99). The calculation puts the electronic total energy at -3.94 eV per atom. The crystal system is tetragonal.

Structure (POSCAR):
```
KRbPr2Sb2
1.0
-2.419 2.390 4.221
-3.784 -3.880 0.028
4.839 -4.679 5.423
K Pr Rb Sb
1 2 1 2
Cartesian
0.640 -0.619 0.717
1.201 -1.136 4.812
0.518 -4.271 2.716
1.114 -4.822 6.849
-1.652 -2.147 3.749
3.390 -3.278 3.799
```

---

Entry from the Open Quantum Materials Database: KPrReSe4 after structural relaxation (PBE).

Computed properties:
As for the space group: P2_1 (4). The calculation puts the electronic total energy at -5.48 eV per atom. The crystal system is monoclinic.

Structure (POSCAR):
```
KPrReSe4
1.0
6.850 0.000 0.000
0.000 6.956 0.000
-2.963 0.000 8.701
K Pr Re Se
2 2 2 8
Cartesian
0.456 3.556 3.863
3.430 0.079 4.838
4.825 0.058 0.411
-0.939 3.536 8.290
1.181 6.929 1.412
2.705 3.451 7.289
6.257 4.352 0.777
2.858 5.266 1.905
2.772 1.746 1.941
-0.491 0.328 3.055
4.377 3.806 5.646
1.114 5.224 6.760
1.028 1.788 6.796
-2.371 0.874 7.924
```

---

Entry from the Open Quantum Materials Database: KPrSnS3 after structural relaxation (PBE).

Computed properties:
As for the space group: Pnma (62). The calculation puts the electronic total energy at -5.05 eV per atom. The crystal system is orthorhombic.

Structure (POSCAR):
```
KPrSnS3
1.0
-14.098 4.459 0.455
-1.232 -3.929 0.341
0.668 0.859 12.297
K Pr S Sn
4 4 12 4
Cartesian
-4.187 -1.797 1.712
-11.048 0.673 5.391
-3.613 0.716 7.702
-10.475 3.186 11.381
-7.955 -0.566 2.283
-0.767 -2.617 4.610
-13.894 4.006 8.484
-6.706 1.955 10.810
-5.902 0.842 0.898
-13.071 1.090 2.887
-1.422 -0.392 2.854
-8.434 1.885 3.775
-5.931 -1.022 4.338
-12.686 3.413 6.012
-1.975 -2.024 7.082
-8.730 2.411 8.755
-6.228 -0.497 9.319
-13.239 1.781 10.240
-1.590 0.299 10.207
-8.759 0.547 12.195
-13.694 3.351 1.669
-6.436 1.391 5.291
-8.225 -0.002 7.802
-0.967 -1.963 11.425
```

---

Entry from the Open Quantum Materials Database: KSrPrS3 after structural relaxation (PBE).

Computed properties:
As for the space group: Cmcm (63). The calculation puts the electronic total energy at -4.99 eV per atom. The crystal system is orthorhombic.

Structure (POSCAR):
```
KSrPrS3
1.0
2.175 -9.248 0.000
2.175 9.248 0.000
0.000 0.000 11.730
K Pr S Sr
2 2 6 2
Cartesian
2.175 2.397 2.932
2.175 -2.397 8.797
0.000 0.000 0.000
0.000 0.000 5.865
2.175 -1.914 0.108
2.175 -9.214 2.932
2.175 -1.914 5.757
2.175 1.914 5.973
2.175 9.214 8.797
2.175 1.914 11.622
2.175 -1.832 2.932
2.175 1.832 8.797
```

---

Entry from the Open Quantum Materials Database: KPrZnS3 after structural relaxation (PBE).

Computed properties:
As for the space group: P2_1/m (11). The calculation puts the electronic total energy at -4.69 eV per atom. The crystal system is monoclinic.

Structure (POSCAR):
```
KPrZnS3
1.0
8.296 0.000 0.000
0.000 4.103 0.000
-2.721 0.000 9.689
K Pr S Zn
2 2 6 2
Cartesian
1.455 3.078 2.102
4.120 1.026 7.587
5.697 3.078 3.554
-0.122 1.026 6.136
5.703 3.078 0.480
3.755 1.026 3.213
-0.620 1.026 3.388
6.195 3.078 6.302
1.820 3.078 6.476
-0.127 1.026 9.210
4.494 1.026 1.026
1.082 3.078 8.663
```

---

Entry from the Open Quantum Materials Database: KPrZnS3 after structural relaxation (PBE).

Computed properties:
As for the space group: C2/m (12). The calculation puts the electronic total energy at -4.55 eV per atom. The crystal system is monoclinic.

Structure (POSCAR):
```
KPrZnS3
1.0
9.178 -2.098 0.000
9.178 2.098 0.000
-1.893 0.000 8.123
K Pr S Zn
2 2 6 2
Cartesian
2.354 0.000 0.586
14.109 0.000 7.537
14.488 0.000 3.457
1.975 0.000 4.666
9.178 0.000 0.000
5.890 0.000 1.622
11.737 0.000 2.886
-0.946 0.000 4.062
4.726 0.000 5.237
10.573 0.000 6.501
8.139 0.000 2.089
8.324 0.000 6.034
```

---

Entry from the Open Quantum Materials Database: KPrSbTe3 after structural relaxation (PBE).

Computed properties:
As for the space group: Cmcm (63). The calculation puts the electronic total energy at -3.99 eV per atom. The crystal system is orthorhombic.

Structure (POSCAR):
```
KPrSbTe3
1.0
-4.192 4.736 6.259
2.074 -7.885 -3.563
9.155 -0.552 6.550
K Pr Sb Te
2 2 2 6
Cartesian
-0.443 1.656 5.606
7.479 -5.357 3.639
0.000 0.000 0.000
4.577 -0.276 3.275
1.413 -2.083 2.697
5.623 -1.618 6.549
0.127 -3.243 0.330
3.691 -6.671 -0.873
3.967 -3.475 3.078
3.069 -0.226 6.168
3.346 2.969 10.119
6.910 -0.458 8.916
```

---

Entry from the Open Quantum Materials Database: KPrSc after structural relaxation (PBE).

Computed properties:
The energy above the most stable polymorph in this dataset is 0 meV per atom. As for the space group: F-43m (216). The crystal system is cubic.

Structure (POSCAR):
```
KPrSc
1.0
0.000 4.095 4.095
4.095 0.000 4.095
4.095 4.095 0.000
K Pr Sc
1 1 1
Cartesian
2.047 2.047 2.047
6.142 6.142 6.142
0.000 0.000 0.000
```